Below is an optimized crystal structure of Hg3Se2F2, with properties calculated at the PBE level.

## Properties
Offset from the most stable computed form: 69.3 meV per atom
SG: C2/m
E_form (uncorrected): -69.5 kJ/mol of atoms

abc: 4.691 6.058 7.906
angles: 70.27 107.26 90.00
Fractional positions:
Hg  0.000  0.000  0.000
Hg  0.750  0.250  0.501
Hg  0.250  0.750  0.499
Se  0.130  0.163  0.261
Se  0.870  0.837  0.739
F  0.678  0.622  0.357
F  0.322  0.378  0.643



Below is an optimized crystal structure of Tm2Nb3Si4, with properties calculated at the PBE level.

## Properties
DOS(E_F): 4.4 states/eV/f.u.
SG: P2_1/c
E_form (uncorrected): -80.6 kJ/mol of atoms

abc: 6.861 7.019 7.026
angles: 90.00 90.00 108.85
Fractional positions:
Si  0.366  0.082  0.965
Si  0.371  0.492  0.375
Si  0.634  0.918  0.035
Si  0.629  0.508  0.625
Si  0.129  0.508  0.875
Si  0.134  0.918  0.465
Si  0.866  0.082  0.535
Si  0.871  0.492  0.125
Nb  0.253  0.745  0.178
Nb  0.247  0.255  0.678
Nb  0.000  0.500  0.500
Nb  0.500  0.500  0.000
Nb  0.747  0.255  0.822
Nb  0.753  0.745  0.322
Tm  0.935  0.812  0.830
Tm  0.065  0.188  0.170
Tm  0.565  0.188  0.330
Tm  0.435  0.812  0.670



Below is an optimized crystal structure of SrLiSe3, with properties calculated at the PBE level.

## Properties
Offset from the most stable computed form: 0.0 meV per atom
DOS(E_F): 5.5 states/eV/f.u.
SG: Pm-3m
E_form (uncorrected): -73.2 kJ/mol of atoms

abc: 4.901 4.901 4.901
angles: 90.00 90.00 90.00
Fractional positions:
Se  0.000  0.000  0.500
Se  0.000  0.500  0.000
Se  0.500  0.000  0.000
Sr  0.500  0.500  0.500
Li  0.000  0.000  0.000



Below is an optimized crystal structure of DyEr2HgN, with properties calculated at the PBE level.

## Properties
DOS(E_F): 3.2 states/eV/f.u.
SG: P4/mmm
E_form (uncorrected): -91.1 kJ/mol of atoms

abc: 4.797 4.748 4.748
angles: 90.00 90.00 90.00
Fractional positions:
Dy  0.500  0.000  0.000
Hg  0.500  0.500  0.500
N  0.000  0.000  0.000
Er  0.000  0.000  0.500
Er  0.000  0.500  0.000



Below is an optimized crystal structure of EuErMgSc, with properties calculated at the PBE level.

## Properties
Formation energy from the elements: 0.09 eV per atom
DOS(E_F): 3.5 states/eV/f.u.
SG: F-43m

abc: 5.463 5.463 5.463
angles: 60.00 60.00 60.00
Last column: magnetic moment on the atom in μB.
Fractional positions:
Er  0.250  0.250  0.250  0.02
Sc  0.000  0.000  0.000  0.03
Mg  0.500  0.500  0.500  0.00
Eu  0.750  0.750  0.750  6.81



Below is an optimized crystal structure of Zr2PtCl, with properties calculated at the PBE level.

## Properties
Offset from the most stable computed form: 90.0 meV per atom
DOS(E_F): 2.9 states/eV/f.u.
SG: Pm
E_form (uncorrected): -76.6 kJ/mol of atoms

abc: 5.020 3.177 5.202
angles: 72.52 90.00 90.00
Fractional positions:
Cl  0.000  0.385  0.354
Pt  0.500  0.649  0.833
Zr  0.000  0.102  0.921
Zr  0.500  0.364  0.392



Below is an optimized crystal structure of Cs2TaCdI6, with properties calculated at the PBE level.

## Properties
DOS(E_F): 7.9 states/eV/f.u.
SG: Fm-3m
E_form (uncorrected): -70.8 kJ/mol of atoms

abc: 8.857 8.857 8.859
angles: 60.01 60.01 90.00
Last column: magnetic moment on the atom in μB.
Fractional positions:
I  0.775  0.225  0.000  -0.01
I  0.225  0.225  0.550  -0.01
I  0.225  0.775  0.000  -0.01
I  0.225  0.225  0.000  -0.01
I  0.775  0.775  0.000  -0.01
I  0.775  0.775  0.450  -0.01
Cs  0.250  0.750  0.500  0.00
Cs  0.750  0.250  0.500  0.00
Ta  0.000  0.000  0.000  0.74
Cd  0.500  0.500  0.000  -0.02



Below is an optimized crystal structure of NaTi3Zn, with properties calculated at the PBE level.

## Properties
Offset from the most stable computed form: 678.0 meV per atom
Formation energy from the elements: 1.59 eV per atom
DOS(E_F): 6.4 states/eV/f.u.
SG: Pm-3m

abc: 4.679 4.679 4.679
angles: 90.00 90.00 90.00
Fractional positions:
Ti  0.000  0.500  0.000
Ti  0.500  0.000  0.000
Ti  0.000  0.000  0.500
Na  0.000  0.000  0.000
Zn  0.500  0.500  0.500



Below is an optimized crystal structure of CdReCl2, with properties calculated at the PBE level.

## Properties
Offset from the most stable computed form: 50.1 meV per atom
DOS(E_F): 2.0 states/eV/f.u.
SG: R-3m
E_form (uncorrected): 7.6 kJ/mol of atoms

abc: 10.640 10.640 10.640
angles: 16.15 16.15 16.15
Fractional positions:
Cl  0.929  0.929  0.929
Cl  0.071  0.071  0.071
Re  0.000  0.000  0.000
Cd  0.500  0.500  0.500



Below is an optimized crystal structure of Tb2CeEr2, with properties calculated at the PBE level.

## Properties
Offset from the most stable computed form: 178.1 meV per atom
Formation energy from the elements: 0.59 eV per atom
DOS(E_F): 12.0 states/eV/f.u.
SG: I4/mmm

abc: 6.027 6.027 6.326
angles: 118.45 118.45 90.00
Last column: magnetic moment on the atom in μB.
Fractional positions:
Er  0.655  0.655  0.310  0.13
Er  0.345  0.345  0.690  0.13
Tb  0.750  0.250  0.500  0.12
Tb  0.250  0.750  0.500  0.12
Ce  0.000  0.000  0.000  0.88



Below is an optimized crystal structure of Tb6GaHg5, with properties calculated at the PBE level.

## Properties
Formation energy from the elements: -0.49 eV per atom
DOS(E_F): 13.2 states/eV/f.u.
SG: C2/m

abc: 5.242 7.465 9.108
angles: 114.19 106.88 90.00
Fractional positions:
Tb  0.836  0.591  0.673
Tb  0.164  0.409  0.327
Tb  0.500  0.242  0.000
Tb  0.836  0.082  0.673
Tb  0.164  0.918  0.327
Tb  0.500  0.758  0.000
Hg  0.000  0.500  0.000
Hg  0.670  0.170  0.339
Hg  0.665  0.666  0.331
Hg  0.330  0.830  0.661
Hg  0.335  0.334  0.669
Ga  0.000  0.000  0.000



Below is an optimized crystal structure of Ce2DyMo2C4, with properties calculated at the PBE level.

## Properties
Formation energy from the elements: -0.06 eV per atom
DOS(E_F): 8.0 states/eV/f.u.
SG: C2/m

abc: 3.469 7.153 6.045
angles: 106.63 90.00 104.03
Fractional positions:
C  0.774  0.548  0.781
C  0.454  0.907  0.246
C  0.226  0.452  0.219
C  0.546  0.093  0.754
Mo  0.322  0.644  0.991
Mo  0.678  0.356  0.009
Ce  0.871  0.742  0.472
Ce  0.129  0.258  0.528
Dy  0.000  0.000  0.000



Below is an optimized crystal structure of NaNd2Pt, with properties calculated at the PBE level.

## Properties
Formation energy from the elements: -0.48 eV per atom
DOS(E_F): 3.3 states/eV/f.u.
SG: R3m

abc: 4.274 4.274 9.414
angles: 76.88 76.88 60.00
Fractional positions:
Nd  0.279  0.279  0.164
Nd  0.054  0.054  0.837
Pt  0.666  0.666  0.001
Na  0.501  0.501  0.498



Below is an optimized crystal structure of Ac2Th2Se7, with properties calculated at the PBE level.

## Properties
SG: Imm2
E_form (uncorrected): -180.7 kJ/mol of atoms

abc: 4.386 9.248 9.248
angles: 61.02 76.28 76.28
Fractional positions:
Se  0.872  0.416  0.840
Se  0.605  0.505  0.285
Se  0.128  0.160  0.584
Se  0.820  0.060  0.300
Se  0.500  0.012  0.988
Se  0.180  0.700  0.940
Se  0.395  0.715  0.495
Th  0.000  0.789  0.211
Th  0.500  0.337  0.663
Ac  0.263  0.316  0.157
Ac  0.737  0.843  0.684



Below is an optimized crystal structure of SiHgSe3, with properties calculated at the PBE level.

## Properties
Offset from the most stable computed form: 0.0 meV per atom
DOS(E_F): 0.0 states/eV/f.u.
SG: P-1
E_form (uncorrected): -32.1 kJ/mol of atoms

abc: 6.453 7.161 8.172
angles: 72.51 91.63 64.22
Fractional positions:
Se  0.852  0.610  0.486
Se  0.320  0.961  0.645
Se  0.597  0.322  0.818
Se  0.888  0.582  0.965
Se  0.633  0.295  0.296
Se  0.165  0.943  0.138
Hg  0.434  0.060  0.269
Hg  0.051  0.844  0.513
Si  0.827  0.275  0.064
Si  0.658  0.629  0.718



Below is an optimized crystal structure of PmY3Tm2Se6, with properties calculated at the PBE level.

## Properties
DOS(E_F): 5.2 states/eV/f.u.
SG: C2/m
E_form (uncorrected): -168.2 kJ/mol of atoms

abc: 7.079 7.079 7.069
angles: 99.54 99.54 120.25
Fractional positions:
Se  0.737  0.737  0.244
Se  0.263  0.263  0.756
Se  0.429  0.083  0.251
Se  0.571  0.917  0.749
Se  0.083  0.429  0.251
Se  0.917  0.571  0.749
Tm  0.665  0.335  0.000
Tm  0.335  0.665  0.000
Y  0.842  0.158  0.500
Y  0.500  0.500  0.500
Y  0.158  0.842  0.500
Pm  0.000  0.000  0.000



Below is an optimized crystal structure of Li5NCl, with properties calculated at the PBE level.

## Properties
Offset from the most stable computed form: 0.0 meV per atom
DOS(E_F): 2.2 states/eV/f.u.
SG: Immm
E_form (uncorrected): -59.3 kJ/mol of atoms

abc: 3.889 6.035 6.035
angles: 73.28 71.20 71.20
Fractional positions:
Li  0.719  0.281  0.281
Li  0.500  0.230  0.770
Li  0.281  0.719  0.719
Li  0.000  0.500  0.500
Li  0.500  0.770  0.230
Cl  0.000  0.000  0.000
N  0.500  0.500  0.500



Below is an optimized crystal structure of BeFeSi2, with properties calculated at the PBE level.

## Properties
DOS(E_F): 2.0 states/eV/f.u.
SG: P4mm
E_form (uncorrected): -9.3 kJ/mol of atoms

abc: 3.083 3.083 4.664
angles: 90.00 90.00 90.00
Last column: magnetic moment on the atom in μB.
Fractional positions:
Fe  0.500  0.500  0.758  0.79
Be  0.000  0.000  0.492  -0.01
Si  0.000  0.000  0.983  -0.01
Si  0.500  0.500  0.267  0.00



Below is an optimized crystal structure of Cs2NaSeI6, with properties calculated at the PBE level.

## Properties
DOS(E_F): 0.6 states/eV/f.u.
SG: I4/mmm
E_form (uncorrected): -76.6 kJ/mol of atoms

abc: 8.524 8.524 8.788
angles: 60.99 60.99 90.00
Last column: magnetic moment on the atom in μB.
Fractional positions:
Na  0.500  0.500  0.000  0.01
I  0.738  0.738  0.524  0.13
I  0.232  0.768  0.000  0.01
I  0.262  0.262  0.476  0.13
I  0.768  0.232  0.000  0.01
I  0.232  0.232  0.000  0.01
I  0.768  0.768  0.000  0.01
Cs  0.750  0.250  0.500  0.00
Cs  0.250  0.750  0.500  0.00
Se  0.000  0.000  0.000  0.33



Below is an optimized crystal structure of YMo, with properties calculated at the PBE level.

## Properties
Offset from the most stable computed form: 485.9 meV per atom
Formation energy from the elements: 0.62 eV per atom
DOS(E_F): 2.3 states/eV/f.u.
SG: P4/mmm

abc: 2.964 2.964 4.856
angles: 90.00 90.00 90.00
Fractional positions:
Y  0.500  0.500  0.500
Mo  0.000  0.000  0.000



Below is an optimized crystal structure of YCu4Rh, with properties calculated at the PBE level.

## Properties
Formation energy from the elements: -0.27 eV per atom
DOS(E_F): 2.9 states/eV/f.u.
SG: F-43m

abc: 4.987 4.987 4.987
angles: 60.00 60.00 60.00
Fractional positions:
Cu  0.624  0.624  0.128
Cu  0.624  0.624  0.624
Cu  0.624  0.128  0.624
Cu  0.128  0.624  0.624
Rh  0.250  0.250  0.250
Y  0.000  0.000  0.000



Going through the records in order, we get V values of 28.67; 17.79; 23.54; 21.63; 28.81; 19.78; 49.15; 20.49; 20.31; 33.96; 25.68; 15.45; 35.93; 28.68; 31.87; 24.05; 17.75; 11.08; 46.47; 21.33; 14.62 Å³ per atom.
Going through the records in order, we get magnetization values of 0.00; 0.00; 0.00; 0.00; 7.13; 0.00; 1.01; 0.00; 0.00; 1.63; 0.06; 0.00; 0.00; 0.00; 0.00; 0.00; 0.66; 0.74; 1.00; 0.00; 0.00 μB/f.u..
Going through the records in order, we get calculated total energy values of -2.38; -7.60; -3.57; -5.42; -5.60; -7.04; -3.11; -3.67; -4.19; -4.28; -3.19; -8.40; -4.70; -6.19; -3.57; -6.24; -3.44; -5.85; -2.38; -8.03; -5.30 eV/atom.